No. 1
Here is a geometry-optimized NaPrTlPb structure from Alexandria via LeMat-Bulk. Energies are from PBE.

The value obtained for the formation energy is -0.333 eV per atom. The space-group type is Pmmm (47). Its total magnetic moment is 0.0 μB per formula unit. Its total energy is -3.38 eV/atom. For the energy above the lowest structure with this stoichiometry, the calculation gives 0 meV per atom.

Cell: 4.444 5.010 5.247 Å, 90.00 90.00 90.00°
Atoms (fractional coordinates):
Pr: 0.000 0.500 0.500
Tl: 0.500 0.500 0.000
Na: 0.000 0.000 0.000
Pb: 0.500 0.000 0.500

=====

No. 2
Here is a geometry-optimized NaPrTmPb structure from Alexandria via LeMat-Bulk. Energies are from PBE.

The value obtained for the formation energy is -0.144 eV per atom. The space-group type is F-43m (216). Its total magnetic moment is 0.0 μB per formula unit. Its total energy is -3.71 eV/atom.

Cell: 5.477 5.477 5.477 Å, 60.00 60.00 60.00°
Atoms (fractional coordinates):
Tm: 0.250 0.250 0.250
Pb: 0.500 0.500 0.500
Na: 0.000 0.000 0.000
Pr: 0.750 0.750 0.750

=====

No. 3
Here is a geometry-optimized NaPrYPb structure from Alexandria via LeMat-Bulk. Energies are from PBE.

The value obtained for the formation energy is -0.204 eV per atom. The space-group type is F-43m (216). Its total magnetic moment is 0.0 μB per formula unit. Its total energy is -4.27 eV/atom.

Cell: 5.501 5.501 5.501 Å, 60.00 60.00 60.00°
Atoms (fractional coordinates):
Pb: 0.500 0.500 0.500
Na: 0.000 0.000 0.000
Y: 0.750 0.750 0.750
Pr: 0.250 0.250 0.250

=====

No. 4
Here is a geometry-optimized NaPrZnPb structure from Alexandria via LeMat-Bulk. Energies are from PBE.

The value obtained for the formation energy is -0.259 eV per atom. The space-group type is F-43m (216). Its total magnetic moment is 0.0 μB per formula unit. Its total energy is -3.03 eV/atom.

Cell: 5.344 5.344 5.344 Å, 60.00 60.00 60.00°
Atoms (fractional coordinates):
Pr: 0.250 0.250 0.250
Pb: 0.500 0.500 0.500
Na: 0.750 0.750 0.750
Zn: 0.000 0.000 0.000

=====

Question: What is the formula in the third record?
Answer: NaPrYPb

=====

Question: Look up the total magnetic moment of the second one.
Answer: 0.0 μB per formula unit

=====

Question: total magnetic moment of number 2 (NaPrTmPb)?
Answer: 0.0 μB per formula unit